PBE+U NaAlNi2F8, relaxed; calculated density = 3.83 g cm⁻³; volume = 138.6 Å³ per cell; uncorrected energy = -4.82 eV/atom
1.0
4.6830 0.0000 0.0000
0.1111 4.6953 0.0000
0.0064 0.0050 6.3017
Na Al Ni F
1 1 2 8
Cartesian
0.0000 0.0000 0.0000 Na
0.0032 0.0025 3.1509 Al
2.3988 2.3491 1.5836 Ni
2.4017 2.3512 4.7182 Ni
1.0036 3.8000 4.4491 F
1.0041 3.8006 1.8522 F
1.3616 1.3477 3.1515 F
1.5167 1.5024 0.0019 F
3.2838 3.1979 6.2998 F
3.4389 3.3526 3.1502 F
3.7964 0.8998 4.4496 F
3.7969 0.9003 1.8526 F